Material: SrMnRh2
Method: DFT, GGA-PBEsol
State: optimized geometry

Cell: 4.6128 4.6128 3.2269 Å, 90.00 90.00 90.00°
Closest atoms and distances in Å follow each position.
Space group P4/mmm (No. 123)
Asymmetric unit:
1 Sr 0.0000 0.0000 0.0000 x1  8 Rh 2.81
2 Mn 0.5000 0.5000 0.0000 x1  8 Rh 2.81
3 Rh 0.0000 0.5000 0.5000 x2  4 Mn 2.81, 4 Sr 2.81

Values from the calculation:
Offset from the most stable computed form (meV/atom): 0

Material: B2Ir2Pt
Method: DFT, GGA-PBEsol
State: optimized geometry

Cell: 2.8274 2.8274 14.3706 Å, 90.00 90.00 90.00°
Closest atoms and distances in Å follow each position.
Space group I4/mmm (No. 139)
Asymmetric unit:
1 B 0.0000 0.5000 0.2500 x4  4 B 2.00, 4 Ir 2.12
2 Ir 0.0000 0.0000 0.1401 x4  4 B 2.12
3 Pt 0.0000 0.0000 0.5000 x2  4 Pt 2.83, 8 Ir 2.84

Values from the calculation:
DFT total energy (eV per atom): -8.3293

Material: ZrCrTc
Method: DFT, GGA-PBEsol
State: optimized geometry

Cell: 6.0737 6.0737 6.0737 Å, 90.00 90.00 90.00°
Closest atoms and distances in Å follow each position.
Space group F-43m (No. 216)
Asymmetric unit:
1 Zr 0.0000 0.0000 0.0000 x4  4 Cr 2.63, 4 Tc 2.63
2 Cr 0.2500 0.2500 0.7500 x4  4 Zr 2.63
3 Tc 0.2500 0.2500 0.2500 x4  4 Zr 2.63

Values from the calculation:
Offset from the most stable computed form (meV/atom): 585

Material: CaAg3P3O13
Method: DFT, GGA-PBEsol
State: optimized geometry

Cell: 7.4960 6.4668 10.6196 Å, 90.00 100.26 90.00°
Closest atoms and distances in Å follow each position.
Space group P2_1/m (No. 11)
Asymmetric unit:
1 Ca 0.2011 0.2500 0.1893 x2  6 O 2.24-2.43
2 Ag 0.2229 0.2500 0.7505 x2  4 O 2.00-2.07
3 Ag 0.2386 0.7500 0.4089 x2  4 O 1.98-2.07
4 Ag 0.5000 0.0000 0.0000 x2  4 O 2.01-2.03
5 P 0.1749 0.7500 0.0932 x2  4 O 1.49-1.57
6 P 0.2619 0.2500 0.4912 x2  4 O 1.52-1.58
7 P 0.2958 0.7500 0.7251 x2  4 O 1.53-1.56
8 O 0.0198 0.7500 0.9833 x2  1 P 1.49
9 O 0.0977 0.2500 0.5655 x2  1 P 1.58
10 O 0.1022 0.7500 0.2227 x2  1 P 1.57
11 O 0.1746 0.5656 0.7510 x4  1 P 1.55
12 O 0.2412 0.0684 0.3923 x4  1 P 1.56
13 O 0.2983 0.5548 0.1004 x4  1 P 1.56
14 O 0.3553 0.2500 0.9312 x2  3 Ag 2.00-2.01
15 O 0.3555 0.7500 0.5919 x2  1 P 1.56
16 O 0.4283 0.2500 0.5965 x2  1 P 1.52
17 O 0.4805 0.7500 0.8130 x2  1 P 1.53

Values from the calculation:
Formation energy from raw total energies (eV per atom): -1.5035

Material: RbZr2CrF
Method: DFT, GGA-PBEsol
State: optimized geometry

Cell: 4.4773 4.4773 5.6474 Å, 90.00 90.00 90.00°
Closest atoms and distances in Å follow each position.
Space group P4/mmm (No. 123)
Asymmetric unit:
1 Rb 0.0000 0.0000 0.0000 x1  4 Cr 3.17
2 Zr 0.0000 0.5000 0.5000 x2  2 F 2.24
3 Cr 0.5000 0.5000 0.0000 x1  2 F 2.82
4 F 0.5000 0.5000 0.5000 x1  4 Zr 2.24

Values from the calculation:
Formation energy from raw total energies (eV per atom): 0.4367

Material: NiMoIr2
Method: DFT, GGA-PBEsol
State: optimized geometry

Cell: 2.6835 3.7911 5.3019 Å, 90.00 90.00 90.00°
Closest atoms and distances in Å follow each position.
Space group Pmm2 (No. 25)
Asymmetric unit:
1 Ni 0.0000 0.0000 0.0000 x1  6 Ir 2.62-2.65, 4 Mo 2.65, 2 Ni 2.68
2 Mo 0.5000 0.5000 0.7574 x1  5 Ir 2.49-2.70, 4 Ni 2.65, 2 Mo 2.68
3 Ir 0.0000 0.0000 0.4994 x1  2 Ni 2.65, 6 Ir 2.68-2.74, 4 Mo 2.70
4 Ir 0.5000 0.5000 0.2268 x1  1 Mo 2.49, 4 Ni 2.62, 6 Ir 2.68-2.74

Values from the calculation:
Offset from the most stable computed form (meV/atom): 98

Number 1: size of the total moment 4.6 μB/f.u.. Number 2: size of the total moment 0.0 μB/f.u.. Number 3: size of the total moment 2.9 μB/f.u.. Number 4: size of the total moment 0.0 μB/f.u.. Number 5: size of the total moment 3.4 μB/f.u.. Number 6: size of the total moment 0.0 μB/f.u..